[1]
BaMn2CrS8 after structural relaxation. Source: Alexandria, functional GGA-PBE.

Unit cell a=5.918 b=5.918 c=9.163 alpha=71.16 beta=71.16 gamma=60.00
Last column: magnetic moment on the atom in μB.
Element x y z (fractional)
1 S 0.722 0.053 0.840  -0.09
2 S 0.171 0.171 0.488  -0.02
3 S 0.385 0.722 0.840  -0.09
4 S 0.053 0.385 0.840  -0.09
5 S 0.615 0.278 0.160  -0.09
6 S 0.829 0.829 0.512  -0.02
7 S 0.947 0.615 0.160  -0.09
8 S 0.278 0.947 0.160  -0.09
9 Ba 0.500 0.500 0.500  0.01
10 Mn 0.252 0.252 0.245  1.72
11 Mn 0.748 0.748 0.755  1.72
12 Cr 0.000 0.000 0.000  2.74

Crystal system: trigonal
Energy: -5.82 eV/atom
Size of the total moment: 6.05 μB per formula unit
Fermi-level density of states: 3.65 states/eV/f.u.

---

[2]
BaMn2CrSb after structural relaxation. Source: Alexandria, functional GGA-PBE.

Unit cell a=5.189 b=4.863 c=5.189 alpha=90.00 beta=90.00 gamma=90.00
Last column: magnetic moment on the atom in μB.
Element x y z (fractional)
1 Mn 0.000 0.000 0.500  -3.54
2 Mn 0.500 0.000 0.000  -3.96
3 Sb 0.500 0.500 0.500  0.04
4 Cr 0.000 0.500 0.000  0.35
5 Ba 0.000 0.000 0.000  0.14

Crystal system: tetragonal
Energy: -4.63 eV/atom
Size of the total moment: 7.39 μB per formula unit
Fermi-level density of states: 6.74 states/eV/f.u.

---

[3]
BaScMnCr2 after structural relaxation. Source: Alexandria, functional GGA-PBE.

Unit cell a=5.171 b=5.073 c=5.171 alpha=90.00 beta=90.00 gamma=90.00
Last column: magnetic moment on the atom in μB.
Element x y z (fractional)
1 Sc 0.000 0.000 0.000  -0.28
2 Ba 0.500 0.500 0.500  0.01
3 Cr 0.000 0.000 0.500  3.46
4 Cr 0.500 0.000 0.000  3.69
5 Mn 0.000 0.500 0.000  3.62

Crystal system: tetragonal
Size of the total moment: 11.32 μB per formula unit
Energy of formation from the pure elements: 1.146 eV/atom
Fermi-level density of states: 6.11 states/eV/f.u.

---

[4]
BaMnCrSe4 after structural relaxation. Source: Alexandria, functional GGA-PBE.

Unit cell a=5.665 b=7.271 c=9.689 alpha=90.00 beta=108.02 gamma=90.00
Last column: magnetic moment on the atom in μB.
Element x y z (fractional)
1 Se 0.712 0.250 0.936  0.03
2 Se 0.496 0.750 0.468  0.03
3 Se 0.288 0.750 0.064  0.03
4 Se 0.121 0.993 0.728  0.03
5 Se 0.504 0.250 0.532  0.03
6 Se 0.121 0.507 0.728  0.03
7 Se 0.879 0.493 0.272  0.03
8 Se 0.879 0.007 0.272  0.03
9 Mn 0.865 0.250 0.732  3.06
10 Mn 0.135 0.750 0.268  3.06
11 Cr 0.640 0.750 0.272  -1.43
12 Cr 0.360 0.250 0.728  -1.43
13 Ba 0.675 0.750 0.849  0.01
14 Ba 0.325 0.250 0.151  0.01

Crystal system: monoclinic
Energy: -5.77 eV/atom
Size of the total moment: 1.93 μB per formula unit
Fermi-level density of states: 5.97 states/eV/f.u.